[1]
## Li2TbMg (PBE)

Data for an optimized crystal structure of Li2TbMg.

Unit cell a=3.322 b=5.275 c=5.275 alpha=90.00 beta=90.00 gamma=90.00
Fractional positions:
Li 0.000 0.500 0.000
Li 0.000 0.000 0.500
Tb 0.500 0.500 0.500
Mg 0.500 0.000 0.000

Results
space group = P4/mmm
calculated volume = 92 Å³ per cell
total moment = 0.00 Bohr magnetons per cell
polymorph energy (0 for the lowest one) = 0.051 eV per atom

[2]
## Li5TbMg4 (PBE)

Data for an optimized crystal structure of Li5TbMg4.

Unit cell a=3.502 b=3.502 c=17.422 alpha=90.00 beta=90.00 gamma=90.00
Fractional positions:
Mg 0.000 0.000 0.404
Tb 0.000 0.000 0.000
Li 0.500 0.500 0.123
Mg 0.000 0.000 0.788
Li 0.500 0.500 0.500
Mg 0.000 0.000 0.596
Li 0.500 0.500 0.877
Li 0.500 0.500 0.690
Mg 0.000 0.000 0.212
Li 0.500 0.500 0.310

Results
space group = P4/mmm
calculated volume = 214 Å³ per cell
total moment = 0.07 Bohr magnetons per cell
total energy = -0.1514 Ry/atom

[3]
## Li4TbMg8 (PBE)

Data for an optimized crystal structure of Li4TbMg8.

Unit cell a=5.385 b=7.774 c=7.774 alpha=83.11 beta=69.73 gamma=69.73
Fractional positions:
Mg 0.352 0.648 0.648
Li 0.000 0.500 0.000
Mg 0.000 0.648 0.352
Mg 0.000 0.352 0.648
Mg 0.289 0.211 0.211
Li 0.500 0.000 0.500
Mg 0.500 0.789 0.211
Mg 0.500 0.211 0.789
Li 0.000 0.000 0.500
Tb 0.000 0.000 0.000
Li 0.500 0.500 0.000
Mg 0.711 0.789 0.789
Mg 0.648 0.352 0.352

Results
space group = I4/mmm
calculated volume = 286 Å³ per cell
total moment = 0.00 Bohr magnetons per cell
total energy = -0.1449 Ry/atom

[4]
## Li2Tb3Mg7 (PBE)

Data for an optimized crystal structure of Li2Tb3Mg7.

Unit cell a=3.414 b=5.285 c=16.585 alpha=94.98 beta=90.00 gamma=90.00
Fractional positions:
Mg 0.000 0.426 0.834
Mg 0.500 0.739 0.458
Tb 0.500 0.500 0.000
Tb 0.000 0.214 0.359
Mg 0.500 0.921 0.835
Li 0.500 0.291 0.707
Mg 0.000 0.574 0.166
Li 0.500 0.709 0.293
Mg 0.500 0.079 0.165
Mg 0.500 0.261 0.542
Mg 0.000 0.000 0.000
Tb 0.000 0.786 0.641

Results
space group = P2/m
calculated volume = 298 Å³ per cell
total moment = 0.00 Bohr magnetons per cell
polymorph energy (0 for the lowest one) = 0.055 eV per atom

[5]
## LiTbMg4 (PBE)

Data for an optimized crystal structure of LiTbMg4.

Unit cell a=5.977 b=5.977 c=5.977 alpha=60.00 beta=60.00 gamma=60.00
Fractional positions:
Li 0.250 0.250 0.250
Tb 0.000 0.000 0.000
Mg 0.625 0.125 0.625
Mg 0.625 0.625 0.125
Mg 0.625 0.625 0.625
Mg 0.125 0.625 0.625

Results
space group = F-43m
calculated volume = 151 Å³ per cell
total moment = 0.00 Bohr magnetons per cell
polymorph energy (0 for the lowest one) = 0.085 eV per atom

[6]
## LiTbMg11 (PBE)

Data for an optimized crystal structure of LiTbMg11.

Unit cell a=5.858 b=7.748 c=7.769 alpha=82.09 beta=67.85 gamma=68.59
Fractional positions:
Mg 0.000 0.000 0.500
Mg 0.297 0.214 0.209
Mg 0.500 0.000 0.500
Mg 0.650 0.352 0.348
Mg 0.350 0.648 0.652
Mg 0.998 0.352 0.652
Mg 0.494 0.786 0.209
Mg 0.703 0.786 0.791
Mg 0.002 0.648 0.348
Mg 0.000 0.500 0.000
Tb 0.000 0.000 0.000
Li 0.500 0.500 0.000
Mg 0.506 0.214 0.791

Results
space group = C2/m
calculated volume = 304 Å³ per cell
total moment = 0.00 Bohr magnetons per cell
total energy = -0.1379 Ry/atom

[7]
## Li2TbMg10 (PBE)

Data for an optimized crystal structure of Li2TbMg10.

Unit cell a=5.630 b=7.798 c=7.793 alpha=82.51 beta=68.83 gamma=68.84
Fractional positions:
Mg 0.506 0.782 0.206
Mg 0.500 0.000 0.500
Mg 0.007 0.642 0.343
Mg 0.712 0.782 0.794
Mg 0.993 0.358 0.657
Mg 0.288 0.218 0.206
Mg 0.494 0.218 0.794
Mg 0.650 0.358 0.343
Li 0.000 0.500 0.000
Mg 0.350 0.642 0.657
Mg 0.000 0.000 0.500
Li 0.500 0.500 0.000
Tb 0.000 0.000 0.000

Results
space group = Fmmm
calculated volume = 298 Å³ per cell
total moment = 0.00 Bohr magnetons per cell
total energy = -0.1402 Ry/atom

[8]
## LiTb5Mg6 (PBE)

Data for an optimized crystal structure of LiTb5Mg6.

Unit cell a=5.321 b=7.522 c=9.224 alpha=65.93 beta=73.41 gamma=89.99
Fractional positions:
Tb 0.317 0.819 0.362
Mg 0.500 0.226 0.000
Mg 0.841 0.074 0.312
Tb 0.334 0.335 0.330
Mg 0.159 0.926 0.688
Mg 0.500 0.774 0.000
Mg 0.842 0.614 0.312
Tb 0.666 0.665 0.670
Li 0.000 0.000 0.000
Mg 0.158 0.386 0.688
Tb 0.000 0.500 0.000
Tb 0.683 0.181 0.638

Results
space group = C2/m
calculated volume = 320 Å³ per cell
total moment = 0.03 Bohr magnetons per cell
total energy = -0.2161 Ry/atom